No. 1
Density functional theory data (PBE-GGA) for crystalline PrBi2Se4 at its relaxed geometry.

Results
Energy relative to the elements, uncorrected   -0.79 eV per atom
DFT total energy   -4.577 eV/atom
Crystal system   orthorhombic

Cell and atoms, written as POSCAR:
```
PrBi2Se4
1.0
2.2215 -6.7635 0.0000
2.2215 6.7635 0.0000
0.0000 0.0000 13.8199
Pr Bi Se
2 4 8
direct
0.1241 0.8759 0.7500
0.8759 0.1241 0.2500
0.3735 0.6265 0.5626
0.3735 0.6265 0.9374
0.6265 0.3735 0.0626
0.6265 0.3735 0.4374
0.0000 0.0000 0.0000
0.0000 0.0000 0.5000
0.2733 0.7267 0.1230
0.2733 0.7267 0.3770
0.4772 0.5228 0.7500
0.5228 0.4772 0.2500
0.7267 0.2733 0.6230
0.7267 0.2733 0.8770
```

No. 2
Density functional theory data (PBE-GGA) for crystalline LiSbCl2 at its relaxed geometry.

Results
Energy relative to the elements, uncorrected   -1.08 eV per atom
DFT total energy   -3.510 eV/atom
Excess energy over the best structure of this formula in the dataset   0.000 eV per atom
Crystal system   trigonal

Cell and atoms, written as POSCAR:
```
LiSbCl2
1.0
1.7855 1.0309 8.1860
-1.7855 1.0309 8.1860
0.0000 -2.0617 8.1860
Li Sb Cl
1 1 2
direct
0.0000 0.0000 0.0000
0.5000 0.5000 0.5000
0.3918 0.3918 0.3918
0.6082 0.6082 0.6082
```

No. 3
Density functional theory data (PBE-GGA) for crystalline LiLaSmOs at its relaxed geometry.

Results
Energy of formation   -0.092 eV/atom
DFT total energy   -5.789 eV/atom
Crystal system   cubic

Cell and atoms, written as POSCAR:
```
LiLaSmOs
1.0
0.0000 3.5834 3.5834
3.5834 0.0000 3.5834
3.5834 3.5834 0.0000
Li La Sm Os
1 1 1 1
direct
0.0000 0.0000 0.0000
0.7500 0.7500 0.7500
0.2500 0.2500 0.2500
0.5000 0.5000 0.5000
```

No. 4
Density functional theory data (PBE-GGA) for crystalline V2CoCu at its relaxed geometry.

Results
Energy of formation   0.378 eV/atom
DFT total energy   -6.982 eV/atom
Crystal system   tetragonal

Cell and atoms, written as POSCAR:
```
V2CoCu
1.0
-3.2776 3.2776 2.4455
3.2776 -3.2776 2.4455
3.2776 3.2776 -2.4455
V Co Cu
4 2 2
direct
0.0946 0.1250 0.4696
0.3750 0.9054 0.0304
0.6554 0.6250 0.5304
0.8750 0.3446 0.9696
0.0000 0.0000 0.0000
0.7500 0.2500 0.5000
0.2500 0.7500 0.5000
0.5000 0.5000 0.0000
```

No. 5
Density functional theory data (PBE-GGA) for crystalline CoRuPt2 at its relaxed geometry.

Results
Energy of formation   0.078 eV/atom
DFT total energy   -7.038 eV/atom
Excess energy over the best structure of this formula in the dataset   0.075 eV per atom
Crystal system   monoclinic

Cell and atoms, written as POSCAR:
```
CoRuPt2
1.0
4.5024 -1.3630 0.0000
4.5024 1.3630 0.0000
-0.8440 0.0000 4.6296
Co Ru Pt
1 1 2
direct
0.0000 0.0000 0.0000
0.5000 0.5000 0.5000
0.2512 0.2512 0.7518
0.7488 0.7488 0.2482
```

No. 6
Density functional theory data (PBE-GGA) for crystalline NaLi2TeS4 at its relaxed geometry.

Results
Energy relative to the elements, uncorrected   -0.57 eV per atom
DFT total energy   -3.674 eV/atom
Crystal system   orthorhombic

Cell and atoms, written as POSCAR:
```
NaLi2TeS4
1.0
-3.7086 3.9412 5.3568
3.7086 -3.9412 5.3568
3.7086 3.9412 -5.3568
Na Li Te S
2 4 2 8
direct
0.0000 0.0000 0.0000
0.5000 0.0000 0.5000
0.0000 0.5000 0.5000
0.5000 0.0000 0.0000
0.5000 0.5000 0.0000
0.5000 0.5000 0.5000
0.0000 0.0000 0.5000
0.0000 0.5000 0.0000
0.2348 0.7412 0.4936
0.2429 0.2608 0.5179
0.2429 0.7250 0.9821
0.2524 0.2588 0.9936
0.7476 0.7412 0.0064
0.7571 0.2750 0.0179
0.7571 0.7392 0.4821
0.7652 0.2588 0.5064
```

No. 7
Density functional theory data (PBE-GGA) for crystalline CoHIrRh2 at its relaxed geometry.

Results
DFT total energy   -6.726 eV/atom
Excess energy over the best structure of this formula in the dataset   0.000 eV per atom
Crystal system   tetragonal

Cell and atoms, written as POSCAR:
```
CoHIrRh2
1.0
3.8399 0.0000 0.0000
0.0000 3.8399 0.0000
0.0000 0.0000 3.8466
Co H Ir Rh
1 1 1 2
direct
0.0000 0.0000 0.0000
0.0000 0.0000 0.5000
0.5000 0.5000 0.0000
0.0000 0.5000 0.5000
0.5000 0.0000 0.5000
```

No. 8
Density functional theory data (PBE-GGA) for crystalline UAgPt2 at its relaxed geometry.

Results
Energy of formation   -0.339 eV/atom
DFT total energy   -6.894 eV/atom
Crystal system   tetragonal

Cell and atoms, written as POSCAR:
```
UAgPt2
1.0
4.6391 0.0000 0.0000
0.0000 4.6391 0.0000
0.0000 0.0000 3.5357
U Ag Pt
1 1 2
direct
0.0000 0.0000 0.0000
0.5000 0.5000 0.0000
0.0000 0.5000 0.5000
0.5000 0.0000 0.5000
```

No. 9
Density functional theory data (PBE-GGA) for crystalline InTe5 at its relaxed geometry.

Results
Energy relative to the elements, uncorrected   -0.05 eV per atom
DFT total energy   -3.125 eV/atom
Excess energy over the best structure of this formula in the dataset   0.000 eV per atom
Crystal system   monoclinic

Cell and atoms, written as POSCAR:
```
InTe5
1.0
3.8532 -2.2218 0.0000
3.8532 2.2218 0.0000
-0.0088 0.0000 11.1900
In Te
1 5
direct
0.0000 0.0000 0.0000
0.3281 0.3281 0.3379
0.3351 0.3351 0.8507
0.6622 0.6622 0.6622
0.6684 0.6684 0.1493
0.9910 0.9910 0.5001
```

No. 10
Density functional theory data (PBE-GGA) for crystalline Pm6Pr2Er3Mg at its relaxed geometry.

Results
Energy of formation   0.011 eV/atom
DFT total energy   -4.434 eV/atom
Crystal system   monoclinic

Cell and atoms, written as POSCAR:
```
Pm6Pr2Er3Mg
1.0
3.1122 -5.3952 0.0000
3.1122 5.3952 0.0000
-2.0883 0.0000 11.6904
Pm Pr Er Mg
6 2 3 1
direct
0.0836 0.4141 0.7537
0.2472 0.2472 0.2454
0.4141 0.0836 0.7537
0.5859 0.9164 0.2463
0.7528 0.7528 0.7546
0.9164 0.5859 0.2463
0.3332 0.6668 0.5000
0.6668 0.3332 0.5000
0.1659 0.8341 0.0000
0.5000 0.5000 0.0000
0.8341 0.1659 0.0000
0.0000 0.0000 0.5000
```

No. 11
Density functional theory data (PBE-GGA) for crystalline Cs2KRbF4 at its relaxed geometry.

Results
Energy relative to the elements, uncorrected   -2.66 eV per atom
DFT total energy   -4.065 eV/atom
Crystal system   monoclinic

Cell and atoms, written as POSCAR:
```
Cs2KRbF4
1.0
7.1366 0.0000 0.0000
0.0000 4.1290 0.0000
-2.3461 0.0000 6.7594
Cs K Rb F
2 1 1 4
direct
0.0000 0.0000 0.0000
0.5000 0.5000 0.0000
0.0000 0.5000 0.5000
0.5000 0.0000 0.5000
0.2362 0.0000 0.7281
0.2501 0.5000 0.2692
0.7499 0.5000 0.7308
0.7638 0.0000 0.2719
```

No. 12
Density functional theory data (PBE-GGA) for crystalline BaTlSn at its relaxed geometry.

Results
Energy of formation   -0.353 eV/atom
DFT total energy   -3.117 eV/atom
Crystal system   tetragonal

Cell and atoms, written as POSCAR:
```
BaTlSn
1.0
-2.0334 2.0334 6.2737
2.0334 -2.0334 6.2737
2.0334 2.0334 -6.2737
Ba Tl Sn
1 1 1
direct
0.0000 0.0000 0.0000
0.3084 0.3084 0.0000
0.6912 0.6912 0.0000
```